Entry from Alexandria: BaReTe2I after structural relaxation (PBE).

Computed properties:
Total energy: -3.26 eV/atom
V: 57.4 Å³/atom
Uncorrected formation energy: 1.179 eV per atom
Density of states at the Fermi level: 7.2 states/eV/cell

abc: 6.6099 6.6099 6.5743
angles: 90.00 90.00 90.00
With the nearest neighbours (Å) after each atom.
Fractional coordinates of all 5 atoms:
Re 0.5000 0.5000 0.5000  8 Te 4.66, 4 I 4.67
I 0.0000 0.0000 0.5000  2 Ba 3.29
Te 0.5000 0.0000 0.0000  2 Ba 3.30
Ba 0.0000 0.0000 0.0000  2 I 3.29, 4 Te 3.30
Te 0.0000 0.5000 0.0000  2 Ba 3.30